# LaTlH2 PBE-GGA optimized geometry
data_LaTlH2
_symmetry_space_group_name_H-M 'I -4 2 d'
_symmetry_Int_Tables_number 122
_symmetry_space_group_name_Hall 'I -4 2bw'
_cell_length_a 5.040
_cell_length_b 5.040
_cell_length_c 12.529
_cell_angle_alpha 90.00
_cell_angle_beta 90.00
_cell_angle_gamma 90.00
loop_
_atom_site_label
_atom_site_fract_x
_atom_site_fract_y
_atom_site_fract_z
La1 0.000 0.000 0.000
Tl1 0.000 0.000 0.500
H1 0.180 0.250 0.125
# Total DFT energy (no corrections), eV/cell: -58.47
# ρ, Mg/m³: 7.21
# Magnetization, μB per cell: 0.00